La6SiP2Cl3: optimized geometry, PBE-GGA.

Lattice parameters (Å, degrees): 9.5679 9.5679 8.5790 103.30 103.30 25.73
Last column: nearest neighbours and their distance in Å.
Atoms (fractional coordinates):
La: 0.0066 0.0066 0.2406  1 P 2.92, 2 Si 2.95, 3 Cl 3.10-3.12
La: 0.3273 0.3273 0.4323  3 P 2.90-2.91, 3 Cl 3.14
La: 0.3376 0.3376 0.8999  2 P 2.92, 1 Si 2.95, 3 Cl 3.13-3.14
La: 0.6624 0.6624 0.1001  2 P 2.92, 1 Si 2.95, 3 Cl 3.13-3.14
La: 0.6727 0.6727 0.5677  3 P 2.90-2.91, 3 Cl 3.14
La: 0.9934 0.9934 0.7594  1 P 2.92, 2 Si 2.95, 3 Cl 3.10-3.12
Si: 0.5000 0.5000 0.0000  6 La 2.95
P: 0.1677 0.1677 0.3348  6 La 2.90-2.92
P: 0.8323 0.8323 0.6652  6 La 2.90-2.92
Cl: 0.1652 0.1652 0.8320  6 La 3.12-3.14
Cl: 0.5000 0.5000 0.5000  6 La 3.10-3.14
Cl: 0.8348 0.8348 0.1680  6 La 3.12-3.14

Results
- Crystal system: monoclinic
- Formation energy from raw total energies: -1.568 eV/atom
- V: 331 Å³/cell
- N(E_F): 0.48 states/eV per atom